(1)
An optimized crystal structure of LaMoRh, computed with PBE.

Lattice parameters (Å, degrees): 3.151 3.151 12.325 90.00 90.00 90.00
Space group I4mm (No. 107)
Asymmetric unit:
La (0.000, 0.000, 0.000) [2 per cell]
Mo (0.000, 0.000, 0.306) [2 per cell]
Rh (0.000, 0.000, 0.695) [2 per cell]

***

(2)
An optimized crystal structure of LaMo2Rh, computed with PBE.

Lattice parameters (Å, degrees): 10.431 3.129 5.024 90.00 100.87 90.00
Space group C2/m (No. 12)
Asymmetric unit:
La (0.000, 0.000, 0.000) [2 per cell]
Mo (0.221, 0.000, 0.666) [4 per cell]
Rh (0.000, 0.500, 0.500) [2 per cell]

***

(3)
An optimized crystal structure of LaMo2Rh, computed with PBE.

Lattice parameters (Å, degrees): 3.198 3.222 7.521 90.00 94.21 90.00
Space group Pm (No. 6)
Asymmetric unit:
La (0.000, 0.000, 0.000) [1 per cell]
Mo (0.494, 0.500, 0.309) [1 per cell]
Mo (0.940, 0.000, 0.495) [1 per cell]
Rh (0.503, 0.500, 0.707) [1 per cell]

***

| no. | electronic total energy (eV per atom) | E above lowest polymorph (eV/atom) |
| --- | --- | --- |
| 1 | -7.64 | 0.0000 |
| 2 | -8.25 | 0.1298 |
| 3 | -8.38 | 0.0000 |